Record 1
{
  "formula": "Tl3InAu8",
  "functional": "PBE-GGA",
  "state": "relaxed",
  "lattice": [[-1.641, 1.227, 5.257], [-4.876, -2.034, 1.981], [2.339, -7.962, 5.617]],
  "species": ["In", "Au", "Au", "Au", "Au", "Tl", "Tl", "Au", "Tl", "Au", "Au", "Au"],
  "fractional_positions": [[0.878, 0.878, 0.366], [0.935, 0.437, 0.192], [0.938, 0.938, 0.684], [0.938, 0.440, 0.684], [0.440, 0.938, 0.684], [0.373, 0.373, 0.880], [0.001, 0.001, 0.998], [0.687, 0.687, 0.938], [0.499, 0.499, 0.502], [0.437, 0.935, 0.192], [0.187, 0.187, 0.438], [0.437, 0.437, 0.192]],
  "e_tot_ev_per_cell": -36.2,
  "space_group": "R3m",
  "formation_enthalpy_0k_mev_per_atom": -11
}


Record 2
{
  "formula": "Tl2In2Au",
  "functional": "PBE-GGA",
  "state": "relaxed",
  "lattice": [[-3.645, 1.944, -0.876], [-1.375, -0.817, 3.909], [0.683, 7.731, 4.138]],
  "species": ["Tl", "Au", "In", "In", "Tl"],
  "fractional_positions": [[0.750, 0.250, 0.500], [0.000, 0.000, 0.000], [0.413, 0.413, 0.174], [0.587, 0.587, 0.826], [0.250, 0.750, 0.500]],
  "e_tot_ev_per_cell": -12.4,
  "space_group": "I4/mmm",
  "formation_enthalpy_0k_mev_per_atom": 221
}


Record 3
{
  "formula": "Tl2InAu2",
  "functional": "PBE-GGA",
  "state": "relaxed",
  "lattice": [[4.502, 0.000, 0.000], [0.000, 4.502, 0.000], [2.251, 2.251, 6.667]],
  "species": ["Au", "Tl", "Au", "In", "Tl"],
  "fractional_positions": [[0.600, 0.600, 0.799], [0.750, 0.250, 0.500], [0.400, 0.400, 0.201], [0.000, 0.000, 0.000], [0.250, 0.750, 0.500]],
  "e_tot_ev_per_cell": -13.6,
  "space_group": "I4/mmm",
  "formation_enthalpy_0k_mev_per_atom": 75
}


Record 4
{
  "formula": "TlIn2Au",
  "functional": "PBE-GGA",
  "state": "relaxed",
  "lattice": [[5.768, -0.389, 0.000], [-1.903, 5.459, 0.000], [0.000, 0.000, 3.263]],
  "species": ["Au", "In", "In", "Tl"],
  "fractional_positions": [[0.000, 0.500, 0.500], [0.500, 0.500, 0.000], [0.000, 0.000, 0.000], [0.500, 0.000, 0.500]],
  "e_tot_ev_per_cell": -10.9,
  "space_group": "Cmmm",
  "formation_enthalpy_0k_mev_per_atom": 50
}